{"formula": "Mg4CuSe8", "functional": "PBE-GGA", "state": "relaxed", "lattice_angstrom": [[7.288, -0.007, 0.000], [-3.345, 6.475, 0.000], [-1.971, -3.234, 6.226]], "species": ["Se", "Se", "Mg", "Se", "Se", "Se", "Se", "Mg", "Cu", "Mg", "Mg", "Se", "Se"], "frac_coords": [[0.000, 0.275, 0.275], [0.725, 0.000, 0.725], [0.000, 0.000, 0.500], [0.724, 0.500, 0.224], [0.275, 0.000, 0.275], [0.500, 0.724, 0.224], [0.276, 0.500, 0.776], [0.500, 0.500, 0.500], [0.000, 0.000, 0.000], [0.000, 0.500, 0.000], [0.500, 0.000, 0.000], [0.000, 0.725, 0.725], [0.500, 0.276, 0.776]], "spacegroup": "No. 139", "magmom_total_mub_per_fu": 0.00, "e_form_raw_ev_per_atom": -0.447, "mass_density_g_cm3": 4.48, "dft_energy_ry_per_atom": -0.2497, "polymorph_energy_ev_per_fu": 0.00}

{"formula": "Mg4Cu2Se", "functional": "PBE-GGA", "state": "relaxed", "lattice_angstrom": [[-4.502, 4.502, 2.212], [4.502, -4.502, 2.212], [4.502, 4.502, -2.212]], "species": ["Mg", "Cu", "Se", "Mg", "Mg", "Mg", "Cu"], "frac_coords": [[0.741, 0.500, 0.241], [0.250, 0.750, 0.500], [0.000, 0.000, 0.000], [0.500, 0.741, 0.241], [0.500, 0.259, 0.759], [0.259, 0.500, 0.759], [0.750, 0.250, 0.500]], "spacegroup": "No. 139", "magmom_total_mub_per_fu": 0.00, "e_form_raw_ev_per_atom": 0.131, "mass_density_g_cm3": 2.81, "dft_energy_ry_per_atom": -0.1800, "polymorph_energy_ev_per_fu": 1.95}

{"formula": "MgCuSe", "functional": "PBE-GGA", "state": "relaxed", "lattice_angstrom": [[1.767, 4.109, -5.630], [-2.916, -6.465, -1.187], [-3.901, 1.750, 0.053]], "species": ["Se", "Cu", "Cu", "Mg", "Cu", "Mg", "Mg", "Se", "Se"], "frac_coords": [[0.536, 0.165, 0.000], [0.758, 0.758, 0.500], [0.553, 0.346, 0.500], [0.869, 0.125, 0.000], [0.346, 0.553, 0.500], [0.564, 0.564, 0.000], [0.125, 0.869, 0.000], [0.083, 0.083, 0.500], [0.165, 0.536, 0.000]], "spacegroup": "No. 38", "magmom_total_mub_per_fu": 0.00, "e_form_raw_ev_per_atom": -0.450, "mass_density_g_cm3": 4.30, "dft_energy_ry_per_atom": -0.2579, "polymorph_energy_ev_per_fu": 0.20}

{"formula": "Mg2Cu4Se", "functional": "PBE-GGA", "state": "relaxed", "lattice_angstrom": [[-1.879, 4.887, 5.210], [-6.260, 3.900, 0.403], [2.682, -6.802, -1.048]], "species": ["Cu", "Mg", "Cu", "Mg", "Cu", "Se", "Cu"], "frac_coords": [[0.000, 0.500, 0.500], [0.628, 0.628, 0.000], [0.183, 0.183, 0.000], [0.372, 0.372, 0.000], [0.500, 0.000, 0.500], [0.000, 0.000, 0.000], [0.817, 0.817, 0.000]], "spacegroup": "No. 139", "magmom_total_mub_per_fu": 0.00, "e_form_raw_ev_per_atom": 0.438, "mass_density_g_cm3": 4.43, "dft_energy_ry_per_atom": -0.2099, "polymorph_energy_ev_per_fu": 4.32}

{"formula": "MgCuSe2", "functional": "PBE-GGA", "state": "relaxed", "lattice_angstrom": [[-7.334, 2.151, -7.961], [7.199, -5.915, 5.914], [-3.594, -1.458, 2.916]], "species": ["Cu", "Se", "Cu", "Se", "Se", "Se", "Mg", "Mg"], "frac_coords": [[0.530, 0.470, 0.750], [0.068, 0.932, 0.750], [0.470, 0.530, 0.250], [0.932, 0.068, 0.250], [0.245, 0.755, 0.250], [0.755, 0.245, 0.750], [0.816, 0.184, 0.250], [0.184, 0.816, 0.750]], "spacegroup": "No. 63", "magmom_total_mub_per_fu": 0.00, "e_form_raw_ev_per_atom": -0.333, "mass_density_g_cm3": 3.63, "dft_energy_ry_per_atom": -0.2571}

{"formula": "MgCuSe2", "functional": "PBE-GGA", "state": "relaxed", "lattice_angstrom": [[3.777, 0.000, 0.000], [0.000, 3.778, 0.000], [0.000, 0.000, 5.315]], "species": ["Mg", "Cu", "Se", "Se"], "frac_coords": [[0.500, 0.500, 0.875], [0.000, 0.000, 0.375], [0.000, 0.000, 0.875], [0.500, 0.500, 0.375]], "spacegroup": "No. 123", "magmom_total_mub_per_fu": 0.00, "e_form_raw_ev_per_atom": -0.601, "mass_density_g_cm3": 5.38, "dft_energy_ry_per_atom": -0.2768}

What did the fifth record say?
{"formula": "MgCuSe2", "functional": "PBE-GGA", "state": "relaxed", "lattice_angstrom": [[-7.334, 2.151, -7.961], [7.199, -5.915, 5.914], [-3.594, -1.458, 2.916]], "species": ["Cu", "Se", "Cu", "Se", "Se", "Se", "Mg", "Mg"], "frac_coords": [[0.530, 0.470, 0.750], [0.068, 0.932, 0.750], [0.470, 0.530, 0.250], [0.932, 0.068, 0.250], [0.245, 0.755, 0.250], [0.755, 0.245, 0.750], [0.816, 0.184, 0.250], [0.184, 0.816, 0.750]], "spacegroup": "No. 63", "magmom_total_mub_per_fu": 0.00, "e_form_raw_ev_per_atom": -0.333, "mass_density_g_cm3": 3.63, "dft_energy_ry_per_atom": -0.2571}

Please write out number 3 again, unchanged.
{"formula": "MgCuSe", "functional": "PBE-GGA", "state": "relaxed", "lattice_angstrom": [[1.767, 4.109, -5.630], [-2.916, -6.465, -1.187], [-3.901, 1.750, 0.053]], "species": ["Se", "Cu", "Cu", "Mg", "Cu", "Mg", "Mg", "Se", "Se"], "frac_coords": [[0.536, 0.165, 0.000], [0.758, 0.758, 0.500], [0.553, 0.346, 0.500], [0.869, 0.125, 0.000], [0.346, 0.553, 0.500], [0.564, 0.564, 0.000], [0.125, 0.869, 0.000], [0.083, 0.083, 0.500], [0.165, 0.536, 0.000]], "spacegroup": "No. 38", "magmom_total_mub_per_fu": 0.00, "e_form_raw_ev_per_atom": -0.450, "mass_density_g_cm3": 4.30, "dft_energy_ry_per_atom": -0.2579, "polymorph_energy_ev_per_fu": 0.20}